w) Li3NbB: relaxed, PBE.

Results
**D(E_F)**: 5.03 states/eV/cell

Unit cell a=5.0160 b=5.0160 c=5.0160 alpha=90.00 beta=90.00 gamma=90.00
Space group Pm-3m (No. 221)
Symmetry-distinct sites (fractional):
1 Li 0.0000 0.0000 0.5000 x3
2 Nb 0.0000 0.0000 0.0000 x1
3 B 0.5000 0.5000 0.5000 x1



x) Li3NbB: relaxed, PBE.

Results
**D(E_F)**: 2.22 states/eV/cell

Unit cell a=4.0160 b=4.0160 c=4.0160 alpha=90.00 beta=90.00 gamma=90.00
Space group Pm-3m (No. 221)
Symmetry-distinct sites (fractional):
1 Li 0.0000 0.0000 0.5000 x3
2 Nb 0.5000 0.5000 0.5000 x1
3 B 0.0000 0.0000 0.0000 x1



x) comes first in stability; the runner-up is 1223 meV per atom higher.



w) LiNi3B: relaxed, PBE.

Results
**D(E_F)**: 0.61 states/eV/cell

Unit cell a=3.8102 b=3.8102 c=3.8102 alpha=90.00 beta=90.00 gamma=90.00
Space group Pm-3m (No. 221)
Symmetry-distinct sites (fractional):
1 Li 0.0000 0.0000 0.0000 x1
2 Ni 0.0000 0.5000 0.5000 x3
3 B 0.5000 0.5000 0.5000 x1



x) LiNi3B: relaxed, PBE.

Results
**D(E_F)**: 5.19 states/eV/cell

Unit cell a=4.9815 b=4.9815 c=5.0543 alpha=90.00 beta=90.00 gamma=120.00
Space group P6/mmm (No. 191)
Symmetry-distinct sites (fractional):
1 Li 0.0000 0.0000 0.0000 x1
2 Li 0.0000 0.0000 0.5000 x1
3 Ni 0.0000 0.5000 0.2350 x6
4 B 0.3333 0.6667 0.5000 x2



y) LiNi3B: relaxed, PBE.

Results
**D(E_F)**: 0.53 states/eV/cell

Unit cell a=3.7639 b=3.7639 c=3.7639 alpha=90.00 beta=90.00 gamma=90.00
Space group Pm-3m (No. 221)
Symmetry-distinct sites (fractional):
1 Li 0.0000 0.0000 0.0000 x1
2 Ni 0.0000 0.0000 0.5000 x3
3 B 0.5000 0.5000 0.5000 x1



x) comes first in stability; the runner-up is 56 meV per atom higher.



w) Li2Ni6B: relaxed, PBE.

Results
**D(E_F)**: 35.90 states/eV/cell

Unit cell a=7.3091 b=7.3091 c=7.3091 alpha=90.00 beta=90.00 gamma=90.00
Space group Fm-3m (No. 225)
Symmetry-distinct sites (fractional):
1 Li 0.2500 0.2500 0.2500 x8
2 Ni 0.0000 0.0000 0.2364 x24
3 B 0.0000 0.0000 0.5000 x4



x) Li2Ni6B: relaxed, PBE.

Results
**D(E_F)**: 14.36 states/eV/cell

Unit cell a=6.6311 b=6.6311 c=2.4522 alpha=90.00 beta=90.00 gamma=120.00
Space group P-31m (No. 162)
Symmetry-distinct sites (fractional):
1 Li 0.3333 0.6667 0.0000 x2
2 Ni 0.0000 0.3155 0.2688 x6
3 B 0.0000 0.0000 0.5000 x1



w) comes first in stability; the runner-up is 201 meV per atom higher.



w) Li5BO4: relaxed, PBE.

Results
**D(E_F)**: 0.00 states/eV/cell

Unit cell a=8.6209 b=8.6675 c=8.9468 alpha=90.00 beta=90.00 gamma=90.00
Space group Pbca (No. 61)
Symmetry-distinct sites (fractional):
1 Li 0.0728 0.0866 0.0976 x8
2 Li 0.0966 0.6834 0.8689 x8
3 Li 0.1336 0.0799 0.3462 x8
4 Li 0.1371 0.6421 0.1399 x8
5 Li 0.1836 0.1268 0.5877 x8
6 B 0.1304 0.1449 0.8549 x8
7 O 0.0306 0.2469 0.9559 x8
8 O 0.0378 0.0362 0.7554 x8
9 O 0.2233 0.2485 0.7563 x8
10 O 0.2402 0.0540 0.9617 x8



x) Li5BO4: relaxed, PBE.

Results
**D(E_F)**: 0.00 states/eV/cell

Unit cell a=5.9551 b=6.0880 c=4.5817 alpha=90.00 beta=90.00 gamma=90.00
Space group Pmmn (No. 59, origin choice 2)
Symmetry-distinct sites (fractional):
1 Li 0.0110 0.0519 0.2410 x8
2 Li 0.2500 0.7500 0.3274 x2
3 B 0.2500 0.2500 0.7211 x2
4 O 0.0368 0.2500 0.9043 x4
5 O 0.2500 0.0418 0.5338 x4



x) comes first in stability; the runner-up is 39 meV per atom higher.